# RbTlAg2

Crystalline RbTlAg2 at its relaxed geometry (PBE, Alexandria via LeMat-Bulk).

Lattice parameters (Å, degrees): 6.978 6.978 6.978 41.74 41.74 41.74
Positions (direct):
1 Rb 0.000 0.000 0.000
2 Tl 0.500 0.500 0.500
3 Ag 0.183 0.183 0.183
4 Ag 0.817 0.817 0.817

Properties
DOS(E_F) (states/eV per cell): 2.03
Space group: R-3m
Energy above the most stable polymorph in this dataset (kJ/mol of formula units): 7.0
Formation energy (eV/atom): 0.03
Size of the total moment (μB per formula unit): 0.000